Computed, not measured: crystalline Nd4Mg3Sc at its relaxed geometry at the GGA-PBE level of DFT.

## Properties
theoretical density = 4.9 Mg/m³
ΔE_f = -0.0561 eV per atom
crystal system = tetragonal
VASP energy = -0.1407 hartree per atom
total magnetization = 0.00 μB/cell

a = 3.8383 Å, b = 3.8383 Å, c = 16.0289 Å
α = 90.00°, β = 90.00°, γ = 90.00°
Positions (direct):
Nd  0.0000  0.0000  0.1224
Nd  0.0000  0.0000  0.3702
Nd  0.0000  0.0000  0.6298
Nd  0.0000  0.0000  0.8776
Mg  0.5000  0.5000  0.0000
Mg  0.5000  0.5000  0.2470
Mg  0.5000  0.5000  0.7530
Sc  0.5000  0.5000  0.5000